# Re2IrPt (PBE-GGA, optimized geometry)
data_Re2IrPt
_symmetry_space_group_name_H-M 'P 1'
_symmetry_Int_Tables_number 1
_symmetry_space_group_name_Hall 'P 1'
_cell_length_a 2.7526
_cell_length_b 2.7526
_cell_length_c 15.7960
_cell_angle_alpha 90.00
_cell_angle_beta 90.00
_cell_angle_gamma 90.00
loop_
_atom_site_label
_atom_site_fract_x
_atom_site_fract_y
_atom_site_fract_z
Pt1 0.7497 0.7500 0.5695
Pt2 0.2503 0.2500 0.4305
Re1 0.2500 0.2500 0.9406
Re2 0.7503 0.7500 0.3081
Re3 0.2497 0.2500 0.6919
Re4 0.7500 0.7500 0.0594
Ir1 0.7498 0.7500 0.8127
Ir2 0.2502 0.2500 0.1873
# ΔH_f (0 K) in eV per atom: -0.119
# Calculated total energy in eV for the cell shown: -80.55
# Symmetry: P4/nmm
# Total magnetization in Bohr magnetons per cell: 0.000
# Offset from the most stable computed form in eV/atom: 0.041